A plane-wave DFT calculation with PBE was carried out for an optimized crystal structure of NaTcRh2.

Properties
Relative energy among the computed polymorphs ... 217 meV/atom
Calculated volume ... 143 Å³ per cell
Crystal system ... tetragonal
Calculated formation energy ... 676 meV per atom

Structure (POSCAR):
```
NaTcRh2
1.0
-3.576 3.576 2.787
3.576 -3.576 2.787
3.576 3.576 -2.787
Na Tc Rh
2 2 4
direct
0.000 0.000 0.000 Na
0.750 0.250 0.500 Na
0.250 0.750 0.500 Tc
0.500 0.500 0.000 Tc
0.173 0.625 0.048 Rh
0.375 0.423 0.548 Rh
0.577 0.125 0.952 Rh
0.875 0.827 0.452 Rh
```

---

A plane-wave DFT calculation with PBE was carried out for an optimized crystal structure of NaTc2Rh2.

Properties
Relative energy among the computed polymorphs ... 100 meV/atom
Calculated volume ... 162 Å³ per cell
Crystal system ... tetragonal
Calculated formation energy ... 255 meV per atom

Structure (POSCAR):
```
NaTc2Rh2
1.0
7.753 0.000 0.000
0.000 7.753 0.000
0.000 0.000 2.688
Na Tc Rh
2 4 4
direct
0.000 0.000 0.000 Na
0.500 0.500 0.000 Na
0.169 0.331 0.500 Tc
0.331 0.831 0.500 Tc
0.669 0.169 0.500 Tc
0.831 0.669 0.500 Tc
0.123 0.623 0.000 Rh
0.377 0.123 0.000 Rh
0.623 0.877 0.000 Rh
0.877 0.377 0.000 Rh
```

---

A plane-wave DFT calculation with PBE was carried out for an optimized crystal structure of Na3TcRh.

Properties
Calculated volume ... 146 Å³ per cell
Crystal system ... cubic
Calculated formation energy ... 1424 meV per atom

Structure (POSCAR):
```
Na3TcRh
1.0
5.260 0.000 0.000
0.000 5.260 0.000
0.000 0.000 5.260
Na Tc Rh
3 1 1
direct
0.000 0.000 0.500 Na
0.000 0.500 0.000 Na
0.500 0.000 0.000 Na
0.500 0.500 0.500 Tc
0.000 0.000 0.000 Rh
```

---

A plane-wave DFT calculation with PBE was carried out for an optimized crystal structure of NaTcRh3.

Properties
Relative energy among the computed polymorphs ... 0 meV/atom
Calculated volume ... 105 Å³ per cell
Crystal system ... cubic
Calculated formation energy ... 869 meV per atom

Structure (POSCAR):
```
NaTcRh3
1.0
4.714 0.000 0.000
0.000 4.714 0.000
0.000 0.000 4.714
Na Tc Rh
1 1 3
direct
0.000 0.000 0.000 Na
0.500 0.500 0.500 Tc
0.000 0.500 0.500 Rh
0.500 0.000 0.500 Rh
0.500 0.500 0.000 Rh
```